InAgMoF6 GGA+U optimized geometry; electronic total energy = -4.677 eV/atom
1.0
6.030 0.000 0.000
-3.015 5.222 0.000
0.000 0.000 9.595
In Ag Mo F
2 2 2 12
Cartesian
0.000 3.481 2.399 In
3.015 1.741 7.196 In
0.000 0.000 0.000 Ag
0.000 0.000 4.797 Ag
0.000 3.481 7.196 Mo
3.015 1.741 2.399 Mo
-0.960 1.948 6.106 F
-1.808 3.417 8.286 F
0.960 1.948 8.286 F
-0.848 5.079 6.106 F
2.167 0.143 1.308 F
1.207 1.805 3.489 F
1.808 3.417 6.106 F
0.848 5.079 8.286 F
3.863 0.143 3.489 F
2.055 3.274 1.308 F
4.822 1.805 1.308 F
3.975 3.274 3.489 F